Entry 1:
! Tb3H12Ru5 PBE optimized geometry; values from VASP
&SYSTEM
  ibrav = 0, nat = 80, ntyp = 3
/
ATOMIC_SPECIES
Ru 101.07 Ru.upf
Tb 158.93 Tb.upf
H 1.01 H.upf
ATOMIC_POSITIONS angstrom
Ru -0.828 2.343 2.029
Ru -1.657 4.686 0.000
Ru 0.000 0.000 0.000
Ru 2.485 1.757 1.014
Ru 3.313 -2.343 4.058
Ru 3.313 4.686 0.000
Ru -2.485 5.271 3.043
Ru 4.142 -2.929 7.101
Ru 4.142 4.100 3.043
Ru 0.828 -2.343 6.087
Ru 2.485 7.029 2.029
Ru 1.657 2.343 4.058
Ru 4.970 0.000 0.000
Ru -1.657 -2.343 4.058
Ru -0.828 0.586 5.072
Ru -0.828 7.614 1.014
Ru -3.313 2.343 4.058
Ru 5.798 -0.586 5.072
Ru 0.828 2.929 7.101
Ru 4.142 2.343 6.087
Tb 5.798 2.929 1.014
Tb 5.798 6.443 1.014
Tb -0.828 4.100 5.072
Tb 0.828 -0.586 3.043
Tb 7.455 0.000 2.029
Tb 0.828 4.686 2.029
Tb 2.485 0.000 6.087
Tb -4.142 4.686 6.087
Tb 2.485 5.271 5.072
Tb 4.142 0.586 3.043
Tb -2.485 -1.757 7.101
Tb -2.485 1.757 7.101
H 6.498 0.891 0.182
H 0.129 2.946 3.377
H 7.407 2.268 2.462
H 4.189 1.345 0.863
H 1.326 3.370 5.472
H 7.205 4.655 1.414
H -0.781 5.609 3.325
H -2.533 8.027 0.863
H 0.331 6.002 5.472
H 4.392 4.716 1.414
H 5.098 2.631 3.195
H 5.098 8.480 0.182
H -2.982 4.081 4.240
H 2.235 3.476 0.733
H -3.442 6.741 3.195
H 1.785 -1.739 4.739
H -0.331 0.711 1.596
H 2.235 5.925 0.681
H 4.189 7.103 2.462
H -0.578 3.446 0.681
H -1.987 5.397 6.520
H 2.437 3.763 3.325
H 4.639 5.291 4.240
H 3.892 -1.209 7.383
H 0.876 0.923 4.791
H -1.326 -0.605 3.876
H -0.578 5.895 0.733
H -0.876 -2.418 5.654
H 5.301 -0.711 1.596
H 3.892 1.240 7.435
H 1.078 -1.240 7.435
H 1.528 6.425 3.377
H 3.644 3.975 6.520
H 6.755 -2.055 4.921
H 6.296 0.605 3.876
H -1.785 -3.795 7.934
H 1.078 1.209 7.383
H 2.982 -1.316 2.644
H -1.078 -0.030 6.702
H -1.785 2.055 4.921
H 5.846 -3.341 7.253
H 4.094 -0.923 4.791
H -0.876 3.341 7.253
H -3.892 0.030 6.702
H 1.987 1.316 2.644
H -4.094 2.418 5.654
H 3.185 1.739 4.739
H -3.185 3.795 7.934
CELL_PARAMETERS angstrom
9.940 0.000 0.000
-3.313 9.371 0.000
-3.313 -4.686 8.116
! VASP energy	-0.387	Ry/atom
! space-group type	Ia-3d, No. 230
! D(E_F)	35.73	states/eV per cell


Entry 2:
! TbH6Ru2 PBE optimized geometry; values from VASP
&SYSTEM
  ibrav = 0, nat = 9, ntyp = 3
/
ATOMIC_SPECIES
Tb 158.93 Tb.upf
H 1.01 H.upf
Ru 101.07 Ru.upf
ATOMIC_POSITIONS angstrom
Tb 2.031 0.364 -0.334
H -0.361 0.058 3.475
H 0.919 2.079 0.779
H 2.976 4.076 0.110
H 1.697 2.054 2.806
H -0.551 1.975 2.996
H 3.167 2.159 0.590
Ru 0.550 0.897 2.127
Ru 2.066 3.236 1.458
CELL_PARAMETERS angstrom
4.062 0.728 -0.669
-1.081 3.983 -0.669
-0.365 -0.577 4.924
! offset from the most stable computed form	0.000	eV/f.u.
! VASP energy	-0.365	Ry/atom
! space-group type	C2/m, No. 12
! D(E_F)	3.80	states/eV per cell


Entry 3:
! Tb2HRu PBE optimized geometry; values from VASP
&SYSTEM
  ibrav = 0, nat = 4, ntyp = 3
/
ATOMIC_SPECIES
Ru 101.07 Ru.upf
Tb 158.93 Tb.upf
H 1.01 H.upf
ATOMIC_POSITIONS angstrom
Ru 1.640 1.640 0.000
Tb 0.000 0.000 5.341
Tb 0.000 0.000 1.722
H 1.640 1.640 3.531
CELL_PARAMETERS angstrom
3.280 0.000 0.000
0.000 3.280 0.000
0.000 0.000 7.062
! offset from the most stable computed form	0.759	eV/f.u.
! VASP energy	-0.416	Ry/atom
! space-group type	P4/mmm, No. 123
! D(E_F)	2.58	states/eV per cell


Entry 4:
! TbH5Ru PBE optimized geometry; values from VASP
&SYSTEM
  ibrav = 0, nat = 14, ntyp = 3
/
ATOMIC_SPECIES
Tb 158.93 Tb.upf
H 1.01 H.upf
Ru 101.07 Ru.upf
ATOMIC_POSITIONS angstrom
Tb 3.360 3.027 6.505
Tb 2.918 2.629 2.972
H 3.614 4.857 8.085
H 3.171 4.453 4.554
H 4.765 2.690 4.552
H 5.001 1.205 6.505
H 1.078 2.567 1.390
H 5.201 3.088 8.087
H 1.277 4.451 2.972
H 1.514 2.966 4.925
H 3.108 1.203 4.923
H 2.665 0.799 1.392
Ru 0.000 0.000 0.000
Ru 0.442 0.398 3.533
CELL_PARAMETERS angstrom
4.339 0.607 1.206
1.056 4.252 1.206
0.884 0.796 7.066
! VASP energy	-0.349	Ry/atom
! space-group type	Immm, No. 71
! D(E_F)	2.20	states/eV per cell


Entry 5:
! TbH8Ru2 PBE optimized geometry; values from VASP
&SYSTEM
  ibrav = 0, nat = 11, ntyp = 3
/
ATOMIC_SPECIES
Tb 158.93 Tb.upf
H 1.01 H.upf
Ru 101.07 Ru.upf
ATOMIC_POSITIONS angstrom
Tb -1.576 -0.893 0.091
H -0.510 -5.266 1.727
H -1.067 -4.089 3.621
H 0.847 -2.550 1.833
H 0.227 -3.587 0.205
H -0.608 -1.824 3.044
H -1.229 -2.861 1.416
H 0.685 -1.322 -0.371
H 0.128 -0.146 1.523
Ru 1.022 -1.046 2.769
Ru 1.748 -2.580 0.298
CELL_PARAMETERS angstrom
-3.152 -1.786 0.183
2.385 -3.925 -1.867
0.385 0.300 4.934
! VASP energy	-0.347	Ry/atom
! space-group type	C2/m, No. 12
! D(E_F)	1.72	states/eV per cell


Entry 6:
! Tb2HRu PBE optimized geometry; values from VASP
&SYSTEM
  ibrav = 0, nat = 8, ntyp = 3
/
ATOMIC_SPECIES
Tb 158.93 Tb.upf
H 1.01 H.upf
Ru 101.07 Ru.upf
ATOMIC_POSITIONS angstrom
Tb 0.755 -0.576 1.722
Tb -1.017 1.752 4.400
Tb 0.753 -2.262 5.098
Tb 0.751 3.057 1.494
H 0.752 1.204 0.230
H 0.753 1.278 2.985
Ru 2.525 5.042 0.339
Ru 2.520 4.393 3.337
CELL_PARAMETERS angstrom
3.541 -0.001 0.000
-0.002 6.954 0.460
-1.770 -2.991 6.282
! offset from the most stable computed form	0.000	eV/f.u.
! VASP energy	-0.430	Ry/atom
! space-group type	C2/m, No. 12
! D(E_F)	4.95	states/eV per cell


Entry 7:
! Tb2HRu PBE optimized geometry; values from VASP
&SYSTEM
  ibrav = 0, nat = 4, ntyp = 3
/
ATOMIC_SPECIES
Ru 101.07 Ru.upf
Tb 158.93 Tb.upf
H 1.01 H.upf
ATOMIC_POSITIONS angstrom
Ru 0.000 0.000 0.000
Tb 3.067 -7.261 0.621
Tb 1.259 -2.485 0.271
H 2.163 -4.873 0.446
CELL_PARAMETERS angstrom
-1.224 -3.064 1.425
-0.258 -2.951 -2.035
5.808 -3.730 1.501
! offset from the most stable computed form	0.643	eV/f.u.
! VASP energy	-0.418	Ry/atom
! space-group type	R-3m, No. 166
! D(E_F)	3.10	states/eV per cell


Entry 8:
! TbH7Ru2 PBE optimized geometry; values from VASP
&SYSTEM
  ibrav = 0, nat = 10, ntyp = 3
/
ATOMIC_SPECIES
Tb 158.93 Tb.upf
H 1.01 H.upf
Ru 101.07 Ru.upf
ATOMIC_POSITIONS angstrom
Tb 0.000 0.000 0.000
H -3.241 -0.399 0.221
H -1.169 -0.683 2.980
H -0.403 1.434 1.840
H -4.391 0.962 2.008
H -1.728 1.615 0.075
H -3.066 0.780 3.773
H -2.397 1.198 1.924
Ru -3.418 1.338 0.564
Ru -1.376 1.058 3.284
CELL_PARAMETERS angstrom
-0.384 3.478 0.647
-4.722 -0.196 -1.751
0.312 -0.886 4.952
! VASP energy	-0.357	Ry/atom
! space-group type	Cmmm, No. 65
! D(E_F)	4.56	states/eV per cell


Entry 9:
! TbZnH8Ru2 PBE optimized geometry; values from VASP
&SYSTEM
  ibrav = 0, nat = 12, ntyp = 4
/
ATOMIC_SPECIES
Tb 158.93 Tb.upf
Zn 65.41 Zn.upf
H 1.01 H.upf
Ru 101.07 Ru.upf
ATOMIC_POSITIONS angstrom
Tb -0.946 0.430 3.097
Zn 0.000 0.000 0.000
H -2.462 0.222 4.575
H -4.049 -1.917 4.387
H -4.990 0.503 3.763
H -1.256 0.842 1.033
H -2.770 1.905 1.725
H -3.476 -0.560 3.072
H -3.784 1.123 0.222
H -2.197 3.262 0.409
Ru -3.952 -0.344 4.629
Ru -2.294 1.689 0.168
CELL_PARAMETERS angstrom
-1.620 4.168 -1.074
-2.735 -3.684 -0.323
-1.891 0.860 6.193
! VASP energy	-0.308	Ry/atom
! space-group type	P-3m1, No. 164
! D(E_F)	3.53	states/eV per cell


Entry 10:
! TcH2Ru2 PBE optimized geometry; values from VASP
&SYSTEM
  ibrav = 0, nat = 5, ntyp = 3
/
ATOMIC_SPECIES
Ru 101.07 Ru.upf
Tc 98.00 Tc.upf
H 1.01 H.upf
ATOMIC_POSITIONS angstrom
Ru 0.466 1.842 1.892
Ru 1.500 3.958 4.005
Tc 0.000 0.000 0.000
H 0.899 3.627 2.262
H 1.068 2.173 3.636
CELL_PARAMETERS angstrom
-1.213 2.565 -0.069
-0.876 -0.342 2.678
4.056 3.578 3.289
! offset from the most stable computed form	0.196	eV/f.u.
! VASP energy	-0.516	Ry/atom
! space-group type	I4/mmm, No. 139
! D(E_F)	3.57	states/eV per cell


Entry 11:
! TcHRu2 PBE optimized geometry; values from VASP
&SYSTEM
  ibrav = 0, nat = 8, ntyp = 3
/
ATOMIC_SPECIES
Ru 101.07 Ru.upf
Tc 98.00 Tc.upf
H 1.01 H.upf
ATOMIC_POSITIONS angstrom
Ru -1.051 3.576 2.109
Ru -3.375 1.293 3.523
Ru -3.225 3.452 5.315
Ru -4.873 6.141 6.949
Tc 0.000 0.000 0.000
Tc -2.001 5.334 3.876
H -2.589 2.508 2.315
H -4.261 1.897 5.072
CELL_PARAMETERS angstrom
-0.329 5.946 1.119
-4.850 -0.929 3.512
-1.083 2.215 4.317
! offset from the most stable computed form	0.925	eV/f.u.
! VASP energy	-0.574	Ry/atom
! space-group type	I-42d, No. 122
! D(E_F)	3.61	states/eV per cell


Entry 12:
! TcH2Ru2 PBE optimized geometry; values from VASP
&SYSTEM
  ibrav = 0, nat = 10, ntyp = 3
/
ATOMIC_SPECIES
Ru 101.07 Ru.upf
Tc 98.00 Tc.upf
H 1.01 H.upf
ATOMIC_POSITIONS angstrom
Ru 0.858 3.818 1.416
Ru 3.818 5.060 1.416
Ru 5.060 2.101 1.416
Ru 2.101 0.858 1.416
Tc 0.000 0.000 0.000
Tc 2.959 2.959 0.000
H 1.713 4.673 0.000
H 4.673 4.205 0.000
H 4.205 1.246 0.000
H 1.246 1.713 0.000
CELL_PARAMETERS angstrom
5.919 0.000 0.000
0.000 5.919 0.000
0.000 0.000 2.833
! offset from the most stable computed form	1.010	eV/f.u.
! VASP energy	-0.504	Ry/atom
! space-group type	P4/mbm, No. 127
! D(E_F)	7.47	states/eV per cell